# 1
HgTe2Pt | PBE | optimized geometry

The space group is P2_1/m (No. 11) and the conventional cell measures 5.563, 4.063 and 9.604 Å, with angles of 90.00, 97.29 and 90.00 degrees. The asymmetric unit holds Hg at (0.207, 0.250, 0.090), Te at (0.239, 0.750, 0.436), Te at (0.313, 0.250, 0.803) and Pt at (0.035, 0.750, 0.682).

The energy is -27.38 eV per cell.

=====

# 2
Sm2CdO | PBE | optimized geometry

The space group is R-3m (No. 166, hexagonal axes) and the conventional cell measures 3.5918, 3.5918 and 27.1290 Å, with angles of 90.00, 90.00 and 120.00 degrees. The asymmetric unit holds Sm at (0.0000, 0.0000, 0.1175), Cd at (0.0000, 0.0000, 0.0000) and O at (0.0000, 0.0000, 0.5000).

The energy is -59.50 eV per cell.

=====

# 3
Li3PmBi2S6 | PBE | optimized geometry

The space group is C2/m (No. 12) and the conventional cell measures 6.922, 12.025 and 6.690 Å, with angles of 90.00, 109.93 and 90.00 degrees. The asymmetric unit holds Li at (0.000, 0.000, 0.000), Li at (0.000, 0.320, 0.000), Pm at (0.000, 0.500, 0.500), Bi at (0.000, 0.165, 0.500), S at (0.248, 0.166, 0.240) and S at (0.249, 0.500, 0.241).

The energy is -112.30 eV per cell.